Record 1
## PrNd2Th3P6 (GGA-PBE)

Data for PrNd2Th3P6 after structural relaxation.

The space group is C2/m (No. 12) and the conventional cell measures 7.218, 12.484 and 7.197 Å, with angles of 90.00, 109.52 and 90.00 degrees. Symmetry generates all atoms from Pr at (0.000, 0.000, 0.000), Nd at (0.000, 0.333, 0.000), Th at (0.000, 0.166, 0.500), Th at (0.000, 0.500, 0.500), P at (0.248, 0.333, 0.744) and P at (0.249, 0.000, 0.745).

For the density of states at the Fermi level, the calculation gives 10.5 states/eV/cell. For the formation energy, the calculation gives -18.8 eV/f.u. The crystal system is monoclinic. The density comes out at 7.12 g/cm³. The total DFT energy (no corrections) is -7.316 eV/atom.

=====

Record 2
## SmLu2Pt (GGA-PBE)

Data for SmLu2Pt after structural relaxation.

The space group is R-3m (No. 166, hexagonal axes) and the conventional cell measures 3.7958, 3.7958 and 28.0153 Å, with angles of 90.00, 90.00 and 120.00 degrees. Symmetry generates all atoms from Sm at (0.0000, 0.0000, 0.0000), Lu at (0.0000, 0.0000, 0.2264) and Pt at (0.0000, 0.0000, 0.5000).

For the density of states at the Fermi level, the calculation gives 16.2 states/eV/cell. For the formation energy, the calculation gives -2.2 eV/f.u. The crystal system is trigonal. Its polymorph energy (0 for the lowest one) is 118 meV per atom. The density comes out at 9.91 g/cm³. The total DFT energy (no corrections) is -5.489 eV/atom.

=====

Record 3
## Sr2HoSb4Pt3 (GGA-PBE)

Data for Sr2HoSb4Pt3 after structural relaxation.

The space group is P-4m2 (No. 115) and the conventional cell measures 4.648, 4.648 and 11.864 Å, with angles of 90.00, 90.00 and 90.00 degrees. Symmetry generates all atoms from Sr at (0.000, 0.500, 0.237), Ho at (0.000, 0.000, 0.500), Sb at (0.000, 0.000, 0.000), Sb at (0.000, 0.500, 0.653), Sb at (0.500, 0.500, 0.000), Pt at (0.000, 0.500, 0.879) and Pt at (0.500, 0.500, 0.500).

Its formation energy without anion corrections is -0.84 eV/atom. For the density of states at the Fermi level, the calculation gives 4.4 states/eV/cell. The crystal system is tetragonal. The density comes out at 9.15 g/cm³. The total DFT energy (no corrections) is -5.100 eV/atom.

=====

Record 4
## Cs2InHg4Au2 (GGA-PBE)

Data for Cs2InHg4Au2 after structural relaxation.

The space group is C2/m (No. 12) and the conventional cell measures 11.959, 7.284 and 6.542 Å, with angles of 90.00, 91.57 and 90.00 degrees. Symmetry generates all atoms from Cs at (0.151, 0.000, 0.147), In at (0.000, 0.500, 0.000), Hg at (0.109, 0.251, 0.645) and Au at (0.182, 0.500, 0.303).

For the density of states at the Fermi level, the calculation gives 6.6 states/eV/cell. For the formation energy, the calculation gives -1.7 eV/f.u. The crystal system is monoclinic. The density comes out at 9.19 g/cm³. The total DFT energy (no corrections) is -1.545 eV/atom.

=====

- Number 2 is which compound?
  SmLu2Pt

=====

- The lowest total DFT energy (no corrections) belongs to which entry?
  PrNd2Th3P6

=====

- What is the formula in the third record?
  Sr2HoSb4Pt3

=====

- total DFT energy (no corrections) of number 2 (SmLu2Pt)?
  -5.489 eV/atom